VASP calculation (PBE) on crystalline Y2ScRu at its relaxed geometry.

abc: 3.4365 3.4479 9.0291
angles: 67.55 90.00 90.00
Closest atoms and distances in Å follow each position.
Fractional coordinates of all 4 atoms:
Sc 0.5000 0.7500 0.7500  4 Sc 3.44-3.45, 8 Y 3.50
Y 0.0000 0.5515 0.4483  4 Ru 2.94
Ru 0.5000 0.2500 0.2500  8 Y 2.94
Y 0.0000 0.9485 0.0517  4 Ru 2.94

## Properties
E_tot, eV for the cell shown: -29.1
Excess energy over the best structure of this formula in the dataset, meV/atom: 174